VASP calculation (SCAN) on a crystal of Tc3MoI relaxed with PBEsol.

```
5
Lattice="4.6547 0.0000 0.0000 0.0000 4.6547 0.0000 0.0000 0.0000 4.6547" Properties=species:S:1:pos:R:3 pbc="T T T"
Tc 0.0000 0.0000 2.3274
Tc 0.0000 2.3274 0.0000
Tc 2.3274 0.0000 0.0000
Mo 0.0000 0.0000 0.0000
I 2.3274 2.3274 2.3274
```

Properties
* formation energy from raw total energies: 188 kJ per mole of atoms
* size of the total moment: 4.53 μB/f.u.